{
  "formula": "Dy2AlRh2",
  "functional": "GGA-PBE",
  "state": "optimized geometry",
  "formation_enthalpy_0k_ev_per_fu": -4.522,
  "sg": "No. 15",
  "lattice_angstrom": [[5.0717, -2.7347, 0.0000], [5.0717, 2.7347, 0.0000], [-1.8935, 0.0000, 7.3203]],
  "species": ["Dy", "Dy", "Dy", "Dy", "Al", "Al", "Rh", "Rh", "Rh", "Rh"],
  "fractional_positions": [[0.0035, 0.2909, 0.1492], [0.2909, 0.0035, 0.6492], [0.7091, 0.9965, 0.3508], [0.9965, 0.7091, 0.8508], [0.3666, 0.6334, 0.2500], [0.6334, 0.3666, 0.7500], [0.2320, 0.5053, 0.4932], [0.4947, 0.7680, 0.0068], [0.5053, 0.2320, 0.9932], [0.7680, 0.4947, 0.5068]]
}

{
  "formula": "Dy2AlRh",
  "functional": "GGA-PBE",
  "state": "optimized geometry",
  "de_polymorph_ev_per_atom": 0.000,
  "formation_enthalpy_0k_ev_per_fu": -2.561,
  "sg": "No. 123",
  "lattice_angstrom": [[3.5471, 0.0000, 0.0000], [0.0000, 3.5471, 0.0000], [0.0000, 0.0000, 6.9186]],
  "species": ["Dy", "Dy", "Al", "Rh"],
  "fractional_positions": [[0.0000, 0.0000, 0.2332], [0.0000, 0.0000, 0.7668], [0.5000, 0.5000, 0.5000], [0.5000, 0.5000, 0.0000]]
}

{
  "formula": "DyAl3Rh",
  "functional": "GGA-PBE",
  "state": "optimized geometry",
  "de_polymorph_ev_per_atom": 0.070,
  "formation_enthalpy_0k_ev_per_fu": -2.638,
  "sg": "No. 74",
  "lattice_angstrom": [[-2.8813, 4.6684, 3.7113], [2.8813, -4.6684, 3.7113], [2.8813, 4.6684, -3.7113]],
  "species": ["Dy", "Dy", "Al", "Al", "Al", "Al", "Al", "Al", "Rh", "Rh"],
  "fractional_positions": [[0.3528, 0.1028, 0.2500], [0.6472, 0.8972, 0.7500], [0.1794, 0.0000, 0.6794], [0.1794, 0.5000, 0.1794], [0.2118, 0.4618, 0.7500], [0.7882, 0.5382, 0.2500], [0.8206, 0.0000, 0.3206], [0.8206, 0.5000, 0.8206], [0.0000, 0.5000, 0.5000], [0.5000, 0.5000, 0.0000]]
}

{
  "formula": "DyAl11Rh",
  "functional": "GGA-PBE",
  "state": "optimized geometry",
  "formation_enthalpy_0k_ev_per_fu": -3.707,
  "sg": "No. 12",
  "lattice_angstrom": [[2.5836, -6.3286, 0.0000], [2.5836, 6.3286, 0.0000], [-2.3087, 0.0000, 6.7913]],
  "species": ["Dy", "Al", "Al", "Al", "Al", "Al", "Al", "Al", "Al", "Al", "Al", "Al", "Rh"],
  "fractional_positions": [[0.0000, 0.0000, 0.0000], [0.0000, 0.0000, 0.5000], [0.0000, 0.5000, 0.0000], [0.0056, 0.3560, 0.3578], [0.2829, 0.4995, 0.7752], [0.3560, 0.0056, 0.3578], [0.4995, 0.2829, 0.7752], [0.5000, 0.0000, 0.0000], [0.5005, 0.7171, 0.2248], [0.6440, 0.9944, 0.6422], [0.7171, 0.5005, 0.2248], [0.9944, 0.6440, 0.6422], [0.5000, 0.5000, 0.5000]]
}

{
  "formula": "DyAlRuRh",
  "functional": "GGA-PBE",
  "state": "optimized geometry",
  "formation_enthalpy_0k_ev_per_fu": -2.610,
  "sg": "No. 216",
  "lattice_angstrom": [[0.0000, 3.2147, 3.2147], [3.2147, 0.0000, 3.2147], [3.2147, 3.2147, 0.0000]],
  "species": ["Dy", "Al", "Ru", "Rh"],
  "fractional_positions": [[0.0000, 0.0000, 0.0000], [0.5000, 0.5000, 0.5000], [0.2500, 0.2500, 0.2500], [0.7500, 0.7500, 0.7500]]
}

{
  "formula": "Dy2Al2SbRh5",
  "functional": "GGA-PBE",
  "state": "optimized geometry",
  "raw_formation_energy_mev_per_atom": -875,
  "sg": "No. 127",
  "lattice_angstrom": [[9.8821, 0.0000, 0.0000], [0.0000, 9.8821, 0.0000], [0.0000, 0.0000, 3.5559]],
  "species": ["Dy", "Dy", "Dy", "Dy", "Al", "Al", "Al", "Al", "Sb", "Sb", "Rh", "Rh", "Rh", "Rh", "Rh", "Rh", "Rh", "Rh", "Rh", "Rh"],
  "fractional_positions": [[0.1758, 0.3242, 0.0000], [0.3242, 0.8242, 0.0000], [0.6758, 0.1758, 0.0000], [0.8242, 0.6758, 0.0000], [0.1209, 0.6209, 0.0000], [0.3791, 0.1209, 0.0000], [0.6209, 0.8791, 0.0000], [0.8791, 0.3791, 0.0000], [0.0000, 0.0000, 0.0000], [0.5000, 0.5000, 0.0000], [0.0000, 0.5000, 0.5000], [0.0690, 0.7904, 0.5000], [0.2096, 0.0690, 0.5000], [0.2904, 0.5690, 0.5000], [0.4310, 0.2904, 0.5000], [0.5000, 0.0000, 0.5000], [0.5690, 0.7096, 0.5000], [0.7096, 0.4310, 0.5000], [0.7904, 0.9310, 0.5000], [0.9310, 0.2096, 0.5000]]
}

{
  "formula": "DyScAlRh",
  "functional": "GGA-PBE",
  "state": "optimized geometry",
  "formation_enthalpy_0k_ev_per_fu": -2.359,
  "sg": "No. 216",
  "lattice_angstrom": [[0.0000, 3.4269, 3.4269], [3.4269, 0.0000, 3.4269], [3.4269, 3.4269, 0.0000]],
  "species": ["Dy", "Sc", "Al", "Rh"],
  "fractional_positions": [[0.0000, 0.0000, 0.0000], [0.5000, 0.5000, 0.5000], [0.2500, 0.2500, 0.2500], [0.7500, 0.7500, 0.7500]]
}

{
  "formula": "DySc2AlRh4",
  "functional": "GGA-PBE",
  "state": "optimized geometry",
  "formation_enthalpy_0k_ev_per_fu": -7.777,
  "sg": "No. 166",
  "lattice_angstrom": [[2.2761, 1.3141, 7.4978], [-2.2761, 1.3141, 7.4978], [0.0000, -2.6282, 7.4978]],
  "species": ["Dy", "Sc", "Sc", "Al", "Rh", "Rh", "Rh", "Rh"],
  "fractional_positions": [[0.0000, 0.0000, 0.0000], [0.2436, 0.2436, 0.2436], [0.7564, 0.7564, 0.7564], [0.5000, 0.5000, 0.5000], [0.1279, 0.1279, 0.1279], [0.3813, 0.3813, 0.3813], [0.6187, 0.6187, 0.6187], [0.8721, 0.8721, 0.8721]]
}

| no. | size of the total moment (μB/f.u.) | calculated density (Mg/m³) |
| --- | --- | --- |
| 1 | 0.0 | 9.1 |
| 2 | 0.0 | 8.7 |
| 3 | 0.0 | 5.8 |
| 4 | 0.0 | 4.2 |
| 5 | 0.0 | 9.8 |
| 6 | 0.0 | 9.7 |
| 7 | 0.0 | 7.0 |
| 8 | 0.0 | 8.5 |